BaMnP3 | PBEsol | optimized geometry

Summary:
uncorrected energy: -4.0376 eV per atom
E_form: 1.819 eV per atom
calculated volume: 157.8 Å³ per cell

abc: 5.403 5.403 5.403
angles: 90.00 90.00 90.00
Space group Pm-3m (No. 221)
Inequivalent atoms, fractional coordinates:
Ba  0.000  0.000  0.000 x1
Mn  0.500  0.500  0.500 x1
P  0.000  0.000  0.500 x3